Computed, not measured: a relaxed FeMo4Se crystal at the PBE-GGA level of DFT.

a = 5.2433 Å, b = 5.2433 Å, c = 5.2433 Å
α = 60.00°, β = 60.00°, γ = 60.00°
Closest atoms and distances in Å follow each position.
Fractional positions:
Mo1 0.1229 0.6257 0.6257  6 Mo 2.61-2.64
Fe1 0.0000 0.0000 0.0000  12 Mo 3.07, 4 Se 3.21
Mo2 0.6257 0.6257 0.1229  6 Mo 2.61-2.64
Mo3 0.6257 0.1229 0.6257  6 Mo 2.61-2.64
Se1 0.2500 0.2500 0.2500  12 Mo 3.08, 4 Fe 3.21
Mo4 0.6257 0.6257 0.6257  6 Mo 2.61-2.64

Energy   -51.057 eV for the cell shown
Spin magnetization   3.169 Bohr magnetons per cell
Space group   F-43m
Raw formation energy   0.70 eV per atom